# BeZnFeSb | OQMD | PBE-GGA | relaxed
data_BeZnFeSb
_chemical_formula_sum 'Be1 Zn1 Fe1 Sb1'
_symmetry_space_group_name_H-M 'P 1'
_symmetry_Int_Tables_number 1
_symmetry_space_group_name_Hall 'P 1'
_cell_length_a 4.336
_cell_length_b 4.336
_cell_length_c 4.336
_cell_angle_alpha 60.00
_cell_angle_beta 60.00
_cell_angle_gamma 60.00
loop_
_atom_site_label
_atom_site_type_symbol
_atom_site_fract_x
_atom_site_fract_y
_atom_site_fract_z
Sb1 Sb 0.000 0.000 0.000
Zn1 Zn 0.750 0.750 0.750
Fe1 Fe 0.500 0.500 0.500
Be1 Be 0.250 0.250 0.250
# **SG**: F-43m (216)
# **Crystal system**: cubic
# **ρ**: 7.260 g cm⁻³

# ZrBeFeSb | OQMD | PBE-GGA | relaxed
data_ZrBeFeSb
_chemical_formula_sum 'Zr1 Be1 Fe1 Sb1'
_symmetry_space_group_name_H-M 'P 1'
_symmetry_Int_Tables_number 1
_symmetry_space_group_name_Hall 'P 1'
_cell_length_a 4.518
_cell_length_b 4.518
_cell_length_c 4.518
_cell_angle_alpha 60.00
_cell_angle_beta 60.00
_cell_angle_gamma 60.00
loop_
_atom_site_label
_atom_site_type_symbol
_atom_site_fract_x
_atom_site_fract_y
_atom_site_fract_z
Fe1 Fe 0.750 0.750 0.750
Zr1 Zr 0.250 0.250 0.250
Be1 Be 0.500 0.500 0.500
Sb1 Sb 0.000 0.000 0.000
# **SG**: F-43m (216)
# **Crystal system**: cubic
# **ρ**: 7.073 g cm⁻³

| no. | uncorrected energy (eV per atom) | energy relative to the lowest polymorph listed for this composition (meV/atom) | volume (Å³ per cell) |
| --- | --- | --- | --- |
| 1 | -3.738 | 144 | 57.6 |
| 2 | -5.948 | 210 | 65.2 |